[1]
First-principles (GGA-PBE) data for Sc2MnTe after structural relaxation, as listed in the Alexandria database.

Structure (POSCAR):
```
Sc2MnTe
1.0
-1.888 2.211 4.928
1.888 -2.211 4.928
1.888 2.211 -4.928
Sc Mn Te
2 1 1
direct
0.000 0.000 0.000
0.730 0.230 0.500
0.488 0.488 0.000
0.272 0.772 0.500
```

Properties
Electronic total energy ... -26.2 eV per cell
ΔE_f (raw) ... -0.313 eV/atom
DOS at the Fermi energy ... 0.832 states/eV per atom
Mass density ... 5.5 g cm⁻³



[2]
First-principles (GGA-PBE) data for La2Ti2Ru after structural relaxation, as listed in the Alexandria database.

Structure (POSCAR):
```
La2Ti2Ru
1.0
8.188 0.000 0.000
0.000 8.188 0.000
0.000 0.000 3.419
La Ti Ru
4 4 2
direct
0.197 0.303 0.000
0.303 0.803 0.000
0.697 0.197 0.000
0.803 0.697 0.000
0.110 0.610 0.500
0.390 0.110 0.500
0.610 0.890 0.500
0.890 0.390 0.500
0.000 0.000 0.000
0.500 0.500 0.000
```

Properties
Electronic total energy ... -62.5 eV per cell
DOS at the Fermi energy ... 1.110 states/eV per atom
Mass density ... 6.9 g cm⁻³
E_form ... 0.73 eV per atom
Energy above the lowest structure with this stoichiometry ... 732 meV/atom



[3]
First-principles (GGA-PBE) data for CaInAg2 after structural relaxation, as listed in the Alexandria database.

Structure (POSCAR):
```
CaInAg2
1.0
4.731 0.000 0.000
0.000 4.731 0.000
0.000 0.000 4.076
Ca In Ag
1 1 2
direct
0.000 0.000 0.000
0.500 0.500 0.000
0.000 0.500 0.500
0.500 0.000 0.500
```

Properties
Electronic total energy ... -11.3 eV per cell
DOS at the Fermi energy ... 0.340 states/eV per atom
Mass density ... 6.7 g cm⁻³
E_form ... -0.22 eV per atom



[4]
First-principles (GGA-PBE) data for RbVH2 after structural relaxation, as listed in the Alexandria database.

Structure (POSCAR):
```
RbVH2
1.0
0.000 3.216 3.216
3.216 0.000 3.216
3.216 3.216 0.000
Rb V H
1 1 2
direct
0.000 0.000 0.000
0.500 0.500 0.500
0.250 0.250 0.250
0.750 0.750 0.750
```

Properties
Electronic total energy ... -12.8 eV per cell
DOS at the Fermi energy ... 0.859 states/eV per atom
Mass density ... 3.5 g cm⁻³
Energy above the lowest structure with this stoichiometry ... 673 meV/atom



- The lowest mass density belongs to which entry?
  RbVH2



- The lowest electronic total energy belongs to which entry?
  La2Ti2Ru



- Among the records above, which one has the lowest DOS at the Fermi energy?
  CaInAg2



- Which value of electronic total energy does entry 1 give?
  -26.2 eV per cell